(1)
Nd2AlSiNi6 | PBE-GGA | optimized geometry

The structure belongs to space group R-3m (No. 166, hexagonal axes); the cell edges are 6.2376, 6.2376 and 15.2373 Å and the angles 90.00°, 90.00° and 120.00°. Symmetry generates all atoms from Nd at (0.0000, 0.0000, 0.2500), Al at (0.0000, 0.0000, 0.0000), Si at (0.0000, 0.0000, 0.5000) and Ni at (0.0074, 0.5037, 0.2480).

The final energy is -5.485 eV/atom. The calculation puts the size of the total moment at 0.00 μB per formula unit. Its mass density is 6.75 g cm⁻³.

(2)
AsICl2 | PBE-GGA | optimized geometry

The structure belongs to space group P1 (No. 1); the cell edges are 4.9351, 6.1329 and 6.9144 Å and the angles 64.58°, 72.67° and 80.95°. Symmetry generates all atoms from As at (0.0000, 0.0000, 0.0000), I at (0.8265, 0.4179, 0.0107), Cl at (0.2034, 0.8391, 0.2785) and Cl at (0.3835, 0.0990, 0.7183).

The value obtained for the energy above the most stable polymorph in this dataset is 0 meV per atom. The final energy is -2.988 eV/atom. The calculation puts the size of the total moment at 0.00 μB per formula unit. Its mass density is 2.51 g cm⁻³.

Look up the final energy of the second one. -2.988 eV/atom